The following is a GGA+U calculation of crystalline Li4Co3Ni3Sb2O16 at its relaxed geometry, from Alexandria via LeMat-Bulk.

Unit cell a=5.802 b=5.868 c=9.496 alpha=91.46 beta=90.59 gamma=119.51
Sites, in units of the cell vectors:
Li (0.000, 0.000, 0.000)
Li (0.007, 0.007, 0.500)
Li (0.334, 0.655, 0.408)
Li (0.652, 0.307, 0.912)
Co (0.174, 0.336, 0.726)
Co (0.339, 0.164, 0.223)
Co (0.832, 0.169, 0.224)
Ni (0.165, 0.822, 0.721)
Ni (0.659, 0.827, 0.722)
Ni (0.828, 0.656, 0.222)
Sb (0.325, 0.660, 0.999)
Sb (0.672, 0.335, 0.496)
O (0.006, 0.018, 0.311)
O (0.021, 0.483, 0.852)
O (0.023, 0.017, 0.809)
O (0.159, 0.835, 0.104)
O (0.161, 0.322, 0.111)
O (0.303, 0.632, 0.624)
O (0.338, 0.172, 0.605)
O (0.461, 0.946, 0.852)
O (0.466, 0.492, 0.853)
O (0.510, 0.467, 0.350)
O (0.519, 0.029, 0.342)
O (0.657, 0.301, 0.123)
O (0.674, 0.840, 0.100)
O (0.842, 0.166, 0.606)
O (0.850, 0.681, 0.598)
O (0.967, 0.459, 0.350)

Summary:
For the total magnetic moment, the calculation gives 3.003 μB per formula unit. The symmetry is P1 (1). For the final energy, the calculation gives -5.5412 eV/atom. For the density of states at the Fermi level, the calculation gives 0.33 states/eV/f.u.